Record 1
Sn5S4Cl2 (PBE, optimized geometry); crystal system = orthorhombic; energy = -46.341 eV/f.u.; total magnetization = 0.00 μB per atom; formation energy from raw total energies = -0.56 eV/atom; offset from the most stable computed form = 0.0 meV per atom
1.0
-5.504 2.106 0.595
-1.871 -5.434 1.931
3.649 4.756 16.919
Sn S Cl
10 8 4
direct
0.265 0.328 0.575
0.249 0.372 0.250
0.265 0.328 0.925
0.235 0.876 0.077
0.765 0.876 0.923
0.751 0.372 0.750
0.765 0.876 0.577
0.735 0.328 0.075
0.735 0.328 0.425
0.235 0.876 0.423
0.730 0.328 0.918
0.759 0.894 0.429
0.241 0.894 0.929
0.759 0.894 0.071
0.241 0.894 0.571
0.730 0.328 0.582
0.270 0.328 0.418
0.270 0.328 0.082
0.799 0.957 0.750
0.687 0.346 0.250
0.313 0.346 0.750
0.201 0.957 0.250

Record 2
Dy2MgTa (PBE, optimized geometry); crystal system = trigonal; formation energy from the elements = 220 kJ/mol of formula units; energy = -20.376 eV/f.u.; total magnetization = 0.08 μB per atom
1.0
3.137 0.000 0.000
1.569 2.717 0.000
1.569 0.906 11.867
Ta Dy Mg
1 2 1
direct
0.000 0.000 0.000
0.916 0.916 0.252
0.084 0.084 0.748
0.500 0.500 0.500

Record 3
CePuTiAl (PBE, optimized geometry); crystal system = cubic; formation energy from the elements = -26 kJ/mol of formula units; energy = -32.173 eV/f.u.; total magnetization = 2.04 μB per atom
1.0
-3.927 2.846 1.013
-4.573 -1.873 -0.351
-2.663 -0.820 4.097
Pu Ce Al Ti
1 1 1 1
direct
0.750 0.750 0.750
0.500 0.500 0.500
0.250 0.250 0.250
0.000 0.000 0.000

Record 4
Y4Mg (PBE, optimized geometry); crystal system = tetragonal; formation energy from the elements = 196 kJ/mol of formula units; energy = -25.423 eV/f.u.; total magnetization = 0.00 μB per atom; offset from the most stable computed form = 428.4 meV per atom
1.0
-2.177 2.177 8.818
2.177 -2.177 8.818
2.177 2.177 -8.818
Y Mg
4 1
direct
0.592 0.592 0.000
0.750 0.250 0.500
0.250 0.750 0.500
0.408 0.408 0.000
0.000 0.000 0.000

Record 5
CdOsBr (PBE, optimized geometry); crystal system = cubic; energy = -9.999 eV/f.u.; total magnetization = 0.25 μB per atom; formation energy from raw total energies = 1.27 eV/atom; offset from the most stable computed form = 447.9 meV per atom
1.0
4.531 0.000 0.000
2.266 3.924 0.000
2.266 1.308 3.700
Br Cd Os
1 1 1
direct
0.000 0.000 0.000
0.500 0.500 0.500
0.750 0.750 0.750

Record 6
SmHg (PBE, optimized geometry); crystal system = cubic; formation energy from the elements = -47 kJ/mol of formula units; energy = -5.506 eV/f.u.; total magnetization = 0.00 μB per atom
1.0
-1.886 -2.388 -3.235
2.455 -2.816 -2.401
-0.527 -4.382 0.494
Sm Hg
1 1
direct
0.500 0.500 0.500
0.000 0.000 0.000

Record 7
LaHfTa3 (PBE, optimized geometry); crystal system = cubic; formation energy from the elements = 963 kJ/mol of formula units; energy = -40.460 eV/f.u.; total magnetization = 0.00 μB per atom; offset from the most stable computed form = 622.4 meV per atom
1.0
4.922 0.000 0.000
0.000 4.922 0.000
0.000 0.000 4.922
La Ta Hf
1 3 1
direct
0.000 0.000 0.000
0.000 0.500 0.000
0.000 0.000 0.500
0.500 0.000 0.000
0.500 0.500 0.500

Record 8
YRe2Pb (PBE, optimized geometry); crystal system = monoclinic; formation energy from the elements = 294 kJ/mol of formula units; energy = -32.025 eV/f.u.; total magnetization = 0.00 μB per atom
1.0
-0.981 -3.471 -3.971
-1.263 -1.689 5.304
-2.967 0.384 0.182
Pb Re Y
1 2 1
direct
0.500 0.500 0.000
0.000 0.000 0.000
0.500 0.000 0.500
0.000 0.500 0.500

Record 9
YPaGaO6 (PBE, optimized geometry); crystal system = tetragonal; energy = -73.170 eV/f.u.; total magnetization = 0.09 μB per atom; formation energy from raw total energies = -2.71 eV/atom
1.0
-1.936 1.061 -4.471
-3.356 -3.640 0.589
-6.324 6.524 4.286
Y O Pa Ga
2 12 2 2
direct
0.000 0.000 0.002
0.500 0.500 0.502
0.817 0.183 0.490
0.317 0.317 0.990
0.790 0.210 0.825
0.710 0.710 0.325
0.807 0.193 0.183
0.683 0.683 0.990
0.183 0.817 0.490
0.210 0.790 0.825
0.290 0.290 0.325
0.193 0.807 0.183
0.307 0.307 0.683
0.693 0.693 0.683
0.500 0.500 0.167
0.000 0.000 0.667
0.500 0.500 0.834
0.000 0.000 0.334

Record 10
HoZnGa (PBE, optimized geometry); crystal system = orthorhombic; formation energy from the elements = -11 kJ/mol of formula units; energy = -8.993 eV/f.u.; total magnetization = 0.00 μB per atom
1.0
4.729 0.000 0.303
0.000 3.177 0.000
-0.584 -1.588 9.118
Ga Ho Zn
2 2 2
direct
0.813 0.983 0.966
0.313 0.719 0.438
0.813 0.818 0.636
0.813 0.624 0.248
0.313 0.918 0.835
0.313 0.070 0.139

Record 11
Pm2Sm5Ru4 (PBE, optimized geometry); crystal system = monoclinic; formation energy from the elements = 23 kJ/mol of formula units; energy = -69.964 eV/f.u.; total magnetization = 0.00 μB per atom
1.0
-3.035 -1.541 -0.921
3.008 -6.388 0.774
-1.837 0.391 12.145
Sm Pm Ru
5 2 4
direct
0.232 0.292 0.463
0.500 0.000 0.000
0.768 0.708 0.537
0.868 0.158 0.735
0.132 0.842 0.265
0.917 0.633 0.833
0.083 0.367 0.167
0.668 0.541 0.336
0.332 0.459 0.664
0.972 0.301 0.945
0.028 0.699 0.055

Record 12
CrIr3W (PBE, optimized geometry); crystal system = cubic; formation energy from the elements = 979 kJ/mol of formula units; energy = -39.017 eV/f.u.; total magnetization = 0.04 μB per atom; offset from the most stable computed form = 2216.0 meV per atom
1.0
4.721 0.000 0.000
0.000 4.721 0.000
0.000 0.000 4.721
Cr Ir W
1 3 1
direct
0.500 0.500 0.500
0.000 0.000 0.500
0.500 0.000 0.000
0.000 0.500 0.000
0.000 0.000 0.000

Record 13
Ta4Al (PBE, optimized geometry); crystal system = tetragonal; formation energy from the elements = -22 kJ/mol of formula units; energy = -51.378 eV/f.u.; total magnetization = 0.00 μB per atom; offset from the most stable computed form = 0.0 meV per atom
1.0
-3.600 3.600 1.737
3.600 -3.600 1.737
3.600 3.600 -1.737
Ta Al
4 1
direct
0.802 0.404 0.205
0.596 0.802 0.398
0.198 0.596 0.795
0.404 0.198 0.602
0.000 0.000 0.000

Record 14
LiNb3S4 (PBE, optimized geometry); crystal system = orthorhombic; energy = -54.881 eV/f.u.; total magnetization = 0.00 μB per atom; formation energy from raw total energies = -0.78 eV/atom
1.0
-1.499 4.596 0.573
-3.392 -2.004 7.197
6.208 1.605 3.372
Nb S Li
6 8 2
direct
0.565 0.351 0.764
0.065 0.649 0.264
0.565 0.773 0.000
0.065 0.649 0.736
0.565 0.351 0.236
0.065 0.227 0.500
0.565 0.159 0.500
0.564 0.110 0.000
0.065 0.354 0.202
0.065 0.841 0.000
0.565 0.646 0.298
0.565 0.646 0.702
0.065 0.354 0.798
0.064 0.890 0.500
0.564 0.877 0.500
0.064 0.123 0.000

Record 15
BaRuSeN2 (PBE, optimized geometry); crystal system = tetragonal; energy = -30.350 eV/f.u.; total magnetization = 0.09 μB per atom; formation energy from raw total energies = 0.20 eV/atom; offset from the most stable computed form = 0.0 meV per atom
1.0
4.124 0.000 0.000
0.000 4.124 0.000
0.000 0.000 5.281
Ba N Se Ru
1 2 1 1
direct
0.500 0.500 0.500
0.500 0.000 0.000
0.000 0.500 0.000
0.000 0.000 0.500
0.000 0.000 0.000

Record 16
LiPmThCd (PBE, optimized geometry); crystal system = cubic; formation energy from the elements = 5 kJ/mol of formula units; energy = -14.948 eV/f.u.; total magnetization = 0.00 μB per atom
1.0
5.368 0.000 0.000
2.684 4.649 0.000
2.684 1.550 4.383
Cd Pm Li Th
1 1 1 1
direct
0.750 0.750 0.750
0.000 0.000 0.000
0.250 0.250 0.250
0.500 0.500 0.500

Record 17
La8PmEr4 (PBE, optimized geometry); crystal system = trigonal; formation energy from the elements = 524 kJ/mol of formula units; energy = -56.994 eV/f.u.; total magnetization = 0.00 μB per atom
1.0
9.925 -0.001 -5.355
-6.407 9.281 0.000
-2.413 -1.665 7.405
La Pm Er
8 1 4
direct
0.525 0.762 0.764
0.001 0.239 0.764
0.999 0.761 0.236
0.475 0.238 0.236
0.999 0.238 0.236
0.001 0.762 0.764
0.476 0.238 0.714
0.524 0.762 0.286
0.000 0.500 0.500
0.500 0.500 0.000
0.000 0.500 0.000
0.000 0.000 0.000
0.500 0.000 0.000

Record 18
BaAc2Pu (PBE, optimized geometry); crystal system = tetragonal; formation energy from the elements = 73 kJ/mol of formula units; energy = -23.718 eV/f.u.; total magnetization = 1.59 μB per atom; offset from the most stable computed form = 0.0 meV per atom
1.0
-0.673 2.001 -3.339
-3.889 -0.201 0.663
0.466 9.558 5.633
Ac Ba Pu
2 1 1
direct
0.000 0.000 0.212
0.000 0.000 0.788
0.500 0.500 0.500
0.500 0.500 0.000

Record 19
Hg3Cl3O (PBE, optimized geometry); crystal system = monoclinic; energy = -14.314 eV/f.u.; total magnetization = 0.00 μB per atom; formation energy from raw total energies = -0.42 eV/atom
1.0
-5.110 2.186 3.998
-5.173 -0.603 -6.282
1.154 -6.377 4.962
Cl Hg O
6 6 2
direct
0.750 0.892 0.662
0.750 0.337 0.229
0.250 0.229 0.893
0.250 0.108 0.338
0.750 0.771 0.107
0.250 0.663 0.771
0.250 0.925 0.600
0.250 0.676 0.075
0.250 0.400 0.325
0.750 0.075 0.400
0.750 0.324 0.925
0.750 0.600 0.675
0.250 0.667 0.333
0.750 0.333 0.667

Record 20
NaTb2Sc3Te6 (PBE, optimized geometry); crystal system = monoclinic; energy = -62.929 eV/f.u.; total magnetization = 0.00 μB per atom; formation energy from raw total energies = -1.21 eV/atom
1.0
4.250 0.000 0.000
0.000 8.634 0.266
-2.125 -2.535 9.013
Sc Te Tb Na
3 6 2 1
direct
0.500 0.500 0.000
0.834 0.178 0.669
0.166 0.822 0.331
0.338 0.410 0.676
0.002 0.740 0.004
0.998 0.260 0.996
0.329 0.927 0.658
0.662 0.590 0.324
0.671 0.073 0.342
0.831 0.661 0.662
0.169 0.339 0.338
0.500 0.000 0.000

Record 21
SiBi3Ir (PBE, optimized geometry); crystal system = cubic; energy = -19.598 eV/f.u.; total magnetization = 0.00 μB per atom; formation energy from raw total energies = 1.27 eV/atom; offset from the most stable computed form = 445.8 meV per atom
1.0
-2.554 -0.620 -4.503
4.511 0.287 -2.598
0.557 -5.169 0.396
Bi Si Ir
3 1 1
direct
0.500 0.000 0.000
0.000 0.000 0.500
0.000 0.500 0.000
0.000 0.000 0.000
0.500 0.500 0.500

Record 22
K2ScReSi (PBE, optimized geometry); crystal system = tetragonal; energy = -17.871 eV/f.u.; total magnetization = 0.27 μB per atom; formation energy from raw total energies = 1.71 eV/atom
1.0
6.259 0.000 0.000
0.000 4.649 0.000
0.000 0.000 6.259
Si K Re Sc
1 2 1 1
direct
0.500 0.500 0.500
0.000 0.000 0.500
0.500 0.000 0.000
0.000 0.500 0.000
0.000 0.000 0.000

Record 23
Ce5TmSn4 (PBE, optimized geometry); crystal system = orthorhombic; formation energy from the elements = -431 kJ/mol of formula units; energy = -54.617 eV/f.u.; total magnetization = 0.49 μB per atom
1.0
4.626 0.000 0.000
0.000 11.936 0.000
0.000 0.000 10.941
Sn Ce Tm
8 10 2
direct
0.288 0.749 0.500
0.289 0.500 0.214
0.711 0.000 0.286
0.712 0.751 0.000
0.289 0.500 0.786
0.712 0.249 0.000
0.711 0.000 0.714
0.288 0.251 0.500
0.790 0.681 0.688
0.210 0.819 0.812
0.210 0.181 0.188
0.210 0.819 0.188
0.795 0.500 0.000
0.210 0.181 0.812
0.205 0.000 0.500
0.790 0.681 0.312
0.790 0.319 0.688
0.790 0.319 0.312
0.280 0.500 0.500
0.720 0.000 0.000

Record 24
KAl2Ir (PBE, optimized geometry); crystal system = orthorhombic; formation energy from the elements = 234 kJ/mol of formula units; energy = -15.020 eV/f.u.; total magnetization = 0.00 μB per atom; offset from the most stable computed form = 808.4 meV per atom
1.0
2.983 0.000 0.000
0.000 5.306 0.000
0.000 0.000 4.798
Ir Al K
1 2 1
direct
0.500 0.000 0.500
0.000 0.000 0.000
0.500 0.500 0.000
0.000 0.500 0.500